# ScCo2H6 | Alexandria via LeMat-Bulk | PBE | optimized geometry
data_ScCo2H6
_cell_length_a 4.2353
_cell_length_b 4.2353
_cell_length_c 3.9252
_cell_angle_alpha 90.00
_cell_angle_beta 90.00
_cell_angle_gamma 120.00
_space_group_name_H-M_alt 'P 6/m m m'
_space_group_IT_number 191
_space_group_name_Hall '-P 6 2'
loop_
_atom_site_label
_atom_site_type_symbol
_atom_site_fract_x
_atom_site_fract_y
_atom_site_fract_z
Sc1 Sc 0.0000 0.0000 0.0000
Co1 Co 0.3333 0.6667 0.5000
H1 H 0.0000 0.5000 0.2270
# - DFT total energy: -42.7 eV per formula unit



# ScCoH3 | Alexandria via LeMat-Bulk | PBE | optimized geometry
data_ScCoH3
_cell_length_a 4.460
_cell_length_b 8.023
_cell_length_c 4.455
_cell_angle_alpha 90.00
_cell_angle_beta 90.00
_cell_angle_gamma 90.00
_space_group_name_H-M_alt 'P n m a'
_space_group_IT_number 62
loop_
_space_group_symop_operation_xyz
'x,y,z'
'-x,-y,-z'
'-x+1/2,-y,z+1/2'
'x+1/2,y,-z+1/2'
'x+1/2,-y+1/2,-z+1/2'
'-x+1/2,y+1/2,z+1/2'
'-x,y+1/2,-z'
'x,-y+1/2,z'
loop_
_atom_site_label
_atom_site_type_symbol
_atom_site_fract_x
_atom_site_fract_y
_atom_site_fract_z
Sc1 Sc 0.000 0.000 0.000
Co1 Co 0.001 0.250 0.465
H1 H 0.249 0.643 0.750
H2 H 0.249 0.750 0.250
# - DFT total energy: -25.0 eV per formula unit



# Sc3Co5H12 | Alexandria via LeMat-Bulk | PBE | optimized geometry
data_Sc3Co5H12
_cell_length_a 10.633
_cell_length_b 10.633
_cell_length_c 10.633
_cell_angle_alpha 90.00
_cell_angle_beta 90.00
_cell_angle_gamma 90.00
_space_group_name_H-M_alt 'I a -3 d'
_space_group_IT_number 230
_space_group_name_Hall '-I 4bd 2c 3'
loop_
_atom_site_label
_atom_site_type_symbol
_atom_site_fract_x
_atom_site_fract_y
_atom_site_fract_z
Sc1 Sc 0.000 0.250 0.125
Co1 Co 0.000 0.000 0.000
Co2 Co 0.000 0.250 0.375
H1 H 0.029 0.055 0.644
# - DFT total energy: -100.0 eV per formula unit



# ScCoH3 | Alexandria via LeMat-Bulk | PBE | optimized geometry
data_ScCoH3
_cell_length_a 5.2676
_cell_length_b 5.2676
_cell_length_c 5.8072
_cell_angle_alpha 90.00
_cell_angle_beta 90.00
_cell_angle_gamma 120.00
_space_group_name_H-M_alt 'R 3 m'
_space_group_IT_number 160
_space_group_name_Hall 'R 3 -2"'
loop_
_atom_site_label
_atom_site_type_symbol
_atom_site_fract_x
_atom_site_fract_y
_atom_site_fract_z
Sc1 Sc 0.0000 0.0000 0.0000
Co1 Co 0.0000 0.0000 0.4514
H1 H 0.2048 0.4096 0.9414
# - DFT total energy: -23.6 eV per formula unit



# ScCoH3 | Alexandria via LeMat-Bulk | PBE | optimized geometry
data_ScCoH3
_cell_length_a 6.936
_cell_length_b 8.547
_cell_length_c 5.592
_cell_angle_alpha 90.00
_cell_angle_beta 108.71
_cell_angle_gamma 90.00
_space_group_name_H-M_alt 'C 1 2/c 1'
_space_group_IT_number 15
loop_
_space_group_symop_operation_xyz
'x,y,z'
'-x,-y,-z'
'-x,y,-z+1/2'
'x,-y,z+1/2'
'x+1/2,y+1/2,z'
'-x+1/2,-y+1/2,-z'
'-x+1/2,y+1/2,-z+1/2'
'x+1/2,-y+1/2,z+1/2'
loop_
_atom_site_label
_atom_site_type_symbol
_atom_site_fract_x
_atom_site_fract_y
_atom_site_fract_z
Sc1 Sc 0.000 0.099 0.250
Sc2 Sc 0.000 0.342 0.750
Co1 Co 0.192 0.381 0.314
H1 H 0.071 0.115 0.626
H2 H 0.177 0.246 0.119
H3 H 0.185 0.492 0.556
# - DFT total energy: -25.5 eV per formula unit



# ScCoH3 | Alexandria via LeMat-Bulk | PBE | optimized geometry
data_ScCoH3
_cell_length_a 3.3038
_cell_length_b 3.3038
_cell_length_c 8.7015
_cell_angle_alpha 90.00
_cell_angle_beta 90.00
_cell_angle_gamma 120.00
_space_group_name_H-M_alt 'P 63/m m c'
_space_group_IT_number 194
_space_group_name_Hall '-P 6c 2c'
loop_
_atom_site_label
_atom_site_type_symbol
_atom_site_fract_x
_atom_site_fract_y
_atom_site_fract_z
Sc1 Sc 0.0000 0.0000 0.0000
Co1 Co 0.3333 0.6667 0.2500
H1 H 0.0000 0.0000 0.2500
H2 H 0.3333 0.6667 0.0655
# - DFT total energy: -25.2 eV per formula unit



Summary of DOS(E_F) in states/eV per cell
3.495 9.128 33.556 8.263 1.656 1.611
(order as listed above)